VASP calculation (meta-GGA SCAN) on SbOs3Au at its PBEsol-relaxed geometry.

Structure (POSCAR):
```
SbOs3Au
1.0
-4.1711 1.2359 1.8992
1.2866 -1.9833 4.1163
1.8652 4.1318 1.4078
Os Au Sb
3 1 1
Cartesian
0.6433 -0.9916 2.0581 Os
0.9326 2.0659 0.7039 Os
-2.0855 0.6180 0.9496 Os
-0.5097 1.6922 3.7116 Au
0.0000 0.0000 0.0000 Sb
```

The value obtained for the electronic total energy is -61.755 eV per atom. Its size of the total moment is 2.05 μB per formula unit. The density is 13.8 g cm⁻³.

VASP calculation (meta-GGA SCAN) on Sb2OsAu at its PBEsol-relaxed geometry.

Structure (POSCAR):
```
Sb2OsAu
1.0
-1.6091 0.3840 4.4577
-3.9344 -2.3231 1.3157
0.3057 -3.7042 2.9653
Au Os Sb
1 1 2
Cartesian
0.0000 0.0000 0.0000 Au
-2.6189 -2.8217 4.3693 Os
-3.9284 -4.2325 6.5540 Sb
-1.3095 -1.4108 2.1847 Sb
```

The value obtained for the electronic total energy is -53.232 eV per atom. Its size of the total moment is 0.00 μB per formula unit. The density is 13.8 g cm⁻³.